AcTmPt, optimized geometry, DFT PBE-GGA; excess energy over the best structure of this formula in the dataset = 0.0 meV per atom; ΔH_f (0 K) = -895 meV per atom; SG = P4/nmm, No. 129; DOS at the Fermi energy = 0.940 states/eV per atom
1.0
4.878 0.000 0.000
0.000 4.878 0.000
0.000 0.000 7.271
Ac Tm Pt
2 2 2
direct
0.250 0.250 0.120 Ac
0.750 0.750 0.880 Ac
0.250 0.750 0.500 Tm
0.750 0.250 0.500 Tm
0.250 0.250 0.706 Pt
0.750 0.750 0.294 Pt

---

BeNi2Cl, optimized geometry, DFT PBE-GGA; excess energy over the best structure of this formula in the dataset = 273.2 meV per atom; SG = Cmm2, No. 35; DOS at the Fermi energy = 1.370 states/eV per atom; E_form (uncorrected) = 0.24 eV/atom
1.0
1.476 -2.364 0.000
1.476 2.364 0.000
0.000 0.000 7.722
Be Ni Cl
1 2 1
direct
0.000 0.000 0.000 Be
0.000 0.000 0.547 Ni
0.500 0.500 0.786 Ni
0.500 0.500 0.182 Cl

---

What did the second record say?
BeNi2Cl, optimized geometry, DFT PBE-GGA; excess energy over the best structure of this formula in the dataset = 273.2 meV per atom; SG = Cmm2, No. 35; DOS at the Fermi energy = 1.370 states/eV per atom; E_form (uncorrected) = 0.24 eV/atom
1.0
1.476 -2.364 0.000
1.476 2.364 0.000
0.000 0.000 7.722
Be Ni Cl
1 2 1
direct
0.000 0.000 0.000 Be
0.000 0.000 0.547 Ni
0.500 0.500 0.786 Ni
0.500 0.500 0.182 Cl